VSbIN2: relaxed, PBE-GGA.

a = 4.0670 Å, b = 4.0670 Å, c = 5.3365 Å
α = 90.00°, β = 90.00°, γ = 90.00°
Last column: nearest neighbours and their distance in Å.
Fractional positions:
I1 0.0000 0.0000 0.5000  2 V 2.67, 4 Sb 2.88
N1 0.0000 0.5000 0.0000  2 V 2.03
N2 0.5000 0.0000 0.0000  2 V 2.03
Sb1 0.5000 0.5000 0.5000  4 I 2.88
V1 0.0000 0.0000 0.0000  4 N 2.03

Calculated values
Offset from the most stable computed form (meV per atom): 0.0
N(E_F) (states/eV/atom): 0.8174


VSbI2N: relaxed, PBE-GGA.

a = 5.4740 Å, b = 5.4740 Å, c = 5.1702 Å
α = 90.00°, β = 90.00°, γ = 90.00°
Last column: nearest neighbours and their distance in Å.
Fractional positions:
N1 0.5000 0.5000 0.5000  8 I 3.76, 4 Sb 3.87
V1 0.0000 0.0000 0.0000  2 Sb 2.59, 4 I 2.74
Sb1 0.0000 0.0000 0.5000  2 V 2.59
I1 0.5000 0.0000 0.0000  2 V 2.74
I2 0.0000 0.5000 0.0000  2 V 2.74

Calculated values
Offset from the most stable computed form (meV per atom): 991.3
N(E_F) (states/eV/atom): 1.3511


VSbIN2: relaxed, PBE-GGA.

a = 4.0414 Å, b = 4.0414 Å, c = 6.8873 Å
α = 90.00°, β = 90.00°, γ = 90.00°
Last column: nearest neighbours and their distance in Å.
Fractional positions:
N1 0.0000 0.5000 0.0000  2 Sb 2.02
N2 0.5000 0.0000 0.0000  2 Sb 2.02
Sb1 0.0000 0.0000 0.0000  4 N 2.02
I1 0.0000 0.0000 0.5000  4 V 2.86
V1 0.5000 0.5000 0.5000  4 I 2.86

Calculated values
Offset from the most stable computed form (meV per atom): 750.5
N(E_F) (states/eV/atom): 1.4538


no.,formation energy (no corrections) (eV/atom)
1,0.926
2,1.213
3,1.676